Record 1
Material: BaZnTc4
Method: DFT, PBE
State: relaxed

The density of states at the Fermi level comes out at 1.094 states/eV per atom. The calculated formation energy is 0.77 eV per atom.

The space group is F-43m (No. 216) and the conventional cell measures 7.6636, 7.6636 and 7.6636 Å, with angles of 90.00, 90.00 and 90.00 degrees. Symmetry generates all atoms from Ba at (0.0000, 0.0000, 0.0000), Zn at (0.2500, 0.2500, 0.2500) and Tc at (0.1242, 0.1242, 0.6242).

=====

Record 2
Material: BaTiSnSb2
Method: DFT, PBE
State: relaxed

The formation energy (no corrections) is -429.9 meV/atom. The density of states at the Fermi level comes out at 0.835 states/eV per atom.

The space group is P4/mmm (No. 123) and the conventional cell measures 5.4097, 5.4097 and 5.3287 Å, with angles of 90.00, 90.00 and 90.00 degrees. Symmetry generates all atoms from Ba at (0.0000, 0.0000, 0.0000), Ti at (0.5000, 0.5000, 0.5000), Sn at (0.5000, 0.5000, 0.0000) and Sb at (0.0000, 0.5000, 0.5000).